## P
! PBE SbPBr3, optimized geometry; values from VASP
! symmetry = Pm-3m (221)
! M_tot = 3.0 μB per formula unit
&SYSTEM
  ibrav = 0, nat = 5, ntyp = 3
/
ATOMIC_SPECIES
Sb 121.76 Sb.upf
Br 79.90 Br.upf
P 30.97 P.upf
CELL_PARAMETERS angstrom
5.622 0.000 0.000
0.000 5.622 0.000
0.000 0.000 5.622
ATOMIC_POSITIONS crystal
Sb 0.000 0.000 0.000
Br 0.000 0.500 0.000
Br 0.000 0.000 0.500
Br 0.500 0.000 0.000
P 0.500 0.500 0.500

***

## Q
! PBE SbPBr3, optimized geometry; values from VASP
! symmetry = Pm-3m (221)
! M_tot = 0.0 μB per formula unit
&SYSTEM
  ibrav = 0, nat = 5, ntyp = 3
/
ATOMIC_SPECIES
Sb 121.76 Sb.upf
Br 79.90 Br.upf
P 30.97 P.upf
CELL_PARAMETERS angstrom
5.154 0.000 0.000
0.000 5.154 0.000
0.000 0.000 5.154
ATOMIC_POSITIONS crystal
Sb 0.500 0.500 0.500
Br 0.000 0.500 0.000
Br 0.000 0.000 0.500
Br 0.500 0.000 0.000
P 0.000 0.000 0.000

***

How far above the most stable structure does each one sit? In eV/atom: P 0.000; Q 0.048.